Computed, not measured: a crystal of TaNiHRu2 relaxed with PBEsol at the SCAN level of DFT.

## Properties
- Space-group type: P4/mmm
- Raw total energy: -157.27 eV/cell

abc: 3.6531 3.9134 3.9134
angles: 90.00 90.00 90.00
Element x y z (fractional)
Ta  0.5000  0.5000  0.5000
Ru  0.0000  0.0000  0.5000
Ru  0.0000  0.5000  0.0000
Ni  0.5000  0.0000  0.0000
H  0.0000  0.0000  0.0000